A plane-wave DFT calculation with PBE-GGA was carried out for Na9TlHg2 after structural relaxation.

Unit cell a=4.9637 b=4.9637 c=14.3557 alpha=90.00 beta=90.00 gamma=90.00
With the nearest neighbours (Å) after each atom.
Space group P4/mmm (No. 123)
Symmetry-distinct sites (fractional):
1 Na 0.0000 0.0000 0.0000 (multiplicity 1)  8 Na 3.50, 4 Tl 3.51
2 Na 0.0000 0.0000 0.3363 (multiplicity 2)  8 Na 3.42-3.43, 4 Hg 3.51
3 Na 0.0000 0.5000 0.1716 (multiplicity 4)  2 Hg 3.42, 8 Na 3.43-3.51, 2 Tl 3.50
4 Na 0.0000 0.5000 0.5000 (multiplicity 2)  8 Na 3.42-3.51, 4 Hg 3.43
5 Tl 0.5000 0.5000 0.0000 (multiplicity 1)  12 Na 3.50-3.51
6 Hg 0.5000 0.5000 0.3350 (multiplicity 2)  12 Na 3.42-3.51

Summary:
Formation energy from the elements ... -0.12 eV per atom